one.
Material: SrYZr
Method: DFT, PBE
State: optimized geometry

a = 3.547 Å, b = 3.547 Å, c = 9.002 Å
α = 90.00°, β = 90.00°, γ = 120.00°
Element x y z (fractional)
Sr 0.000 0.000 0.983
Y 0.667 0.333 0.368
Zr 0.333 0.667 0.649

Calculated values
Its symmetry is P3m1, No. 156. The calculation puts the volume at 32.69 A^3/atom. The density of states at the Fermi level comes out at 4.4 states/eV per cell.



two.
Material: SrYZr
Method: DFT, PBE
State: optimized geometry

a = 6.715 Å, b = 6.715 Å, c = 6.715 Å
α = 149.63°, β = 139.51°, γ = 51.44°
Element x y z (fractional)
Sr 0.005 0.005 0.000
Y 0.306 0.306 0.000
Zr 0.689 0.689 0.000

Calculated values
Its symmetry is Imm2, No. 44. The calculation puts the volume at 32.96 A^3/atom. The density of states at the Fermi level comes out at 5.3 states/eV per cell.



three.
Material: SrYZr
Method: DFT, PBE
State: optimized geometry

a = 5.550 Å, b = 5.550 Å, c = 5.550 Å
α = 60.00°, β = 60.00°, γ = 60.00°
Last column: magnetic moment on the atom in μB.
Element x y z (fractional)
Sr 0.000 0.000 0.000  0.10
Y 0.500 0.500 0.500  0.47
Zr 0.750 0.750 0.750  1.37

Calculated values
Its symmetry is F-43m, No. 216. The calculation puts the volume at 40.30 A^3/atom. The density of states at the Fermi level comes out at 7.1 states/eV per cell.



four.
Material: SrYZr
Method: DFT, PBE
State: optimized geometry

a = 5.724 Å, b = 5.724 Å, c = 3.386 Å
α = 90.00°, β = 90.00°, γ = 120.00°
Last column: magnetic moment on the atom in μB.
Element x y z (fractional)
Sr 0.000 0.000 0.833  0.06
Y 0.667 0.333 0.333  0.20
Zr 0.333 0.667 0.834  0.76

Calculated values
Its symmetry is P-6m2, No. 187. The calculation puts the volume at 32.03 A^3/atom. The density of states at the Fermi level comes out at 5.1 states/eV per cell.



Energies, relative to the best one, in kJ/mol of atoms: one 0.0; two 7.2; three 68.8; four 14.0.



one.
Material: SrY2Zr
Method: DFT, PBE
State: optimized geometry

a = 5.679 Å, b = 5.679 Å, c = 5.679 Å
α = 60.00°, β = 60.00°, γ = 60.00°
Last column: magnetic moment on the atom in μB.
Element x y z (fractional)
Y 0.250 0.250 0.250  0.27
Y 0.750 0.750 0.750  0.27
Sr 0.000 0.000 0.000  0.04
Zr 0.500 0.500 0.500  0.97

Calculated values
Its symmetry is Fm-3m, No. 225. The calculation puts the volume at 32.38 A^3/atom. The density of states at the Fermi level comes out at 6.6 states/eV per cell.



two.
Material: SrY2Zr
Method: DFT, PBE
State: optimized geometry

a = 6.070 Å, b = 6.070 Å, c = 6.070 Å
α = 130.10°, β = 130.10°, γ = 73.25°
Element x y z (fractional)
Sr 0.750 0.250 0.500
Y 0.000 0.000 0.000
Y 0.500 0.500 0.000
Zr 0.250 0.750 0.500

Calculated values
Its symmetry is I4/mmm, No. 139. The calculation puts the volume at 31.94 A^3/atom. The density of states at the Fermi level comes out at 7.2 states/eV per cell.



three.
Material: SrY2Zr
Method: DFT, PBE
State: optimized geometry

a = 12.144 Å, b = 12.144 Å, c = 12.144 Å
α = 16.88°, β = 16.88°, γ = 16.88°
Element x y z (fractional)
Sr 0.750 0.750 0.750
Y 0.989 0.989 0.989
Y 0.511 0.511 0.511
Zr 0.250 0.250 0.250

Calculated values
Its symmetry is R-3m, No. 166. The calculation puts the volume at 32.93 A^3/atom. The density of states at the Fermi level comes out at 6.9 states/eV per cell.



Energies, relative to the best one, in kJ/mol of atoms: one 15.3; two 11.9; three 0.0.



one.
Material: SrY2Zr
Method: DFT, PBE
State: optimized geometry

a = 6.992 Å, b = 6.992 Å, c = 6.992 Å
α = 149.99°, β = 129.30°, γ = 60.05°
Last column: magnetic moment on the atom in μB.
Element x y z (fractional)
Sr 0.267 0.767 0.500  0.01
Y 0.988 0.988 0.000  0.07
Y 0.729 0.229 0.500  0.04
Zr 0.516 0.516 0.000  0.37

Calculated values
Its symmetry is Imm2, No. 44. The calculation puts the volume at 32.81 A^3/atom. The density of states at the Fermi level comes out at 7.2 states/eV per cell.



two.
Material: SrY2Zr
Method: DFT, PBE
State: optimized geometry

a = 4.440 Å, b = 3.612 Å, c = 9.140 Å
α = 66.76°, β = 90.00°, γ = 90.00°
Element x y z (fractional)
Sr 0.500 0.750 0.750
Y 0.000 0.947 0.053
Y 0.000 0.553 0.447
Zr 0.500 0.250 0.250

Calculated values
Its symmetry is Pmmm, No. 47. The calculation puts the volume at 33.68 A^3/atom. The density of states at the Fermi level comes out at 6.5 states/eV per cell.



three.
Material: SrY2Zr
Method: DFT, PBE
State: optimized geometry

a = 4.910 Å, b = 5.100 Å, c = 5.100 Å
α = 90.00°, β = 90.00°, γ = 90.00°
Element x y z (fractional)
Sr 0.500 0.000 0.500
Y 0.000 0.000 0.000
Y 0.000 0.500 0.500
Zr 0.500 0.500 0.000

Calculated values
Its symmetry is P4/mmm, No. 123. The calculation puts the volume at 31.93 A^3/atom. The density of states at the Fermi level comes out at 6.8 states/eV per cell.



Energies, relative to the best one, in kJ/mol of atoms: one 16.4; two 0.0; three 15.2.



one.
Material: SrY2Zr
Method: DFT, PBE
State: optimized geometry

a = 4.821 Å, b = 4.821 Å, c = 12.218 Å
α = 78.62°, β = 78.62°, γ = 90.00°
Last column: magnetic moment on the atom in μB.
Element x y z (fractional)
Y 0.103 0.125 0.250  0.14
Y 0.647 0.625 0.250  0.14
Y 0.375 0.897 0.750  0.13
Y 0.875 0.353 0.750  0.13
Sr 0.500 0.500 0.000  0.09
Sr 0.250 0.750 0.500  0.09
Zr 0.000 0.000 0.000  0.73
Zr 0.750 0.250 0.500  0.73

Calculated values
Its symmetry is I-42d, No. 122. The calculation puts the volume at 34.08 A^3/atom. The density of states at the Fermi level comes out at 12.6 states/eV per cell.



two.
Material: SrY2Zr
Method: DFT, PBE
State: optimized geometry

a = 6.194 Å, b = 6.194 Å, c = 6.194 Å
α = 132.18°, β = 132.18°, γ = 69.95°
Element x y z (fractional)
Sr 0.750 0.250 0.500
Y 0.000 0.000 0.000
Y 0.250 0.750 0.500
Zr 0.500 0.500 0.000

Calculated values
Its symmetry is I-4m2, No. 119. The calculation puts the volume at 31.99 A^3/atom. The density of states at the Fermi level comes out at 7.2 states/eV per cell.



Energies, relative to the best one, in kJ/mol of atoms: one 37.3; two 0.0.



one.
Material: SrY2Zr
Method: DFT, PBE
State: optimized geometry

a = 3.570 Å, b = 3.570 Å, c = 10.463 Å
α = 90.00°, β = 90.00°, γ = 90.12°
Element x y z (fractional)
Sr 0.500 0.500 0.750
Y 0.000 0.000 0.045
Y 0.000 0.000 0.455
Zr 0.500 0.500 0.250

Calculated values
Its symmetry is Cmmm, No. 65. The calculation puts the volume at 33.33 A^3/atom. The density of states at the Fermi level comes out at 6.9 states/eV per cell.



two.
Material: SrY2Zr
Method: DFT, PBE
State: optimized geometry

a = 3.499 Å, b = 3.499 Å, c = 10.654 Å
α = 90.00°, β = 90.00°, γ = 90.02°
Element x y z (fractional)
Sr 0.500 0.500 0.734
Y 0.000 0.000 0.021
Y 0.500 0.500 0.271
Zr 0.000 0.000 0.474

Calculated values
Its symmetry is P4mm, No. 99. The calculation puts the volume at 32.60 A^3/atom. The density of states at the Fermi level comes out at 6.3 states/eV per cell.



Energies, relative to the best one, in kJ/mol of atoms: one 0.0; two 8.8.



one.
Material: SrY2Zr
Method: DFT, PBE
State: optimized geometry

a = 6.187 Å, b = 6.187 Å, c = 3.510 Å
α = 90.00°, β = 90.00°, γ = 108.74°
Element x y z (fractional)
Sr 0.000 0.500 0.500
Y 0.000 0.000 0.000
Y 0.500 0.500 0.000
Zr 0.500 0.000 0.500

Calculated values
Its symmetry is Cmmm, No. 65. The calculation puts the volume at 31.81 A^3/atom. The density of states at the Fermi level comes out at 6.9 states/eV per cell.



two.
Material: SrY2Zr
Method: DFT, PBE
State: optimized geometry

a = 4.027 Å, b = 4.027 Å, c = 8.541 Å
α = 90.00°, β = 90.00°, γ = 90.00°
Last column: magnetic moment on the atom in μB.
Element x y z (fractional)
Sr 0.500 0.500 0.721  0.04
Y 0.000 0.000 0.051  0.07
Y 0.500 0.500 0.284  0.24
Zr 0.000 0.000 0.444  0.64

Calculated values
Its symmetry is P4mm, No. 99. The calculation puts the volume at 34.63 A^3/atom. The density of states at the Fermi level comes out at 6.7 states/eV per cell.



three.
Material: SrY2Zr
Method: DFT, PBE
State: optimized geometry

a = 5.637 Å, b = 3.529 Å, c = 6.528 Å
α = 89.96°, β = 90.00°, γ = 90.00°
Element x y z (fractional)
Sr 0.500 0.625 0.777
Y 0.000 0.125 0.993
Y 0.500 0.125 0.294
Zr 0.000 0.625 0.436

Calculated values
Its symmetry is Pmm2, No. 25. The calculation puts the volume at 32.47 A^3/atom. The density of states at the Fermi level comes out at 6.9 states/eV per cell.



four.
Material: SrY2Zr
Method: DFT, PBE
State: optimized geometry

a = 5.690 Å, b = 5.690 Å, c = 5.690 Å
α = 60.00°, β = 60.00°, γ = 60.00°
Last column: magnetic moment on the atom in μB.
Element x y z (fractional)
Sr 0.500 0.500 0.500  0.06
Y 0.000 0.000 0.000  0.33
Y 0.250 0.250 0.250  0.12
Zr 0.750 0.750 0.750  0.93

Calculated values
Its symmetry is F-43m, No. 216. The calculation puts the volume at 32.56 A^3/atom. The density of states at the Fermi level comes out at 7.4 states/eV per cell.



Energies, relative to the best one, in kJ/mol of atoms: one 4.4; two 1.3; three 0.0; four 12.8.



one.
Material: SrY2Zr
Method: DFT, PBE
State: optimized geometry

a = 6.087 Å, b = 6.087 Å, c = 6.462 Å
α = 81.64°, β = 81.64°, γ = 33.43°
Element x y z (fractional)
Sr 0.245 0.245 0.255
Y 0.005 0.005 0.974
Y 0.757 0.757 0.730
Zr 0.494 0.494 0.541

Calculated values
Its symmetry is Cm, No. 8. The calculation puts the volume at 32.59 A^3/atom. The density of states at the Fermi level comes out at 5.5 states/eV per cell.



two.
Material: SrY2Zr
Method: DFT, PBE
State: optimized geometry

a = 5.992 Å, b = 5.992 Å, c = 6.537 Å
α = 81.18°, β = 81.18°, γ = 34.03°
Element x y z (fractional)
Sr 0.250 0.250 0.250
Y 0.012 0.012 0.968
Y 0.488 0.488 0.532
Zr 0.750 0.750 0.750

Calculated values
Its symmetry is C2/m, No. 12. The calculation puts the volume at 32.42 A^3/atom. The density of states at the Fermi level comes out at 5.8 states/eV per cell.



Energies, relative to the best one, in kJ/mol of atoms: one 1.5; two 0.0.



one.
Material: Sr5Zn3
Method: DFT, PBE
State: optimized geometry

a = 9.894 Å, b = 9.894 Å, c = 9.038 Å
α = 94.94°, β = 94.93°, γ = 136.30°
Element x y z (fractional)
Sr 0.256 0.756 0.524
Sr 0.743 0.244 0.476
Sr 0.820 0.105 0.872
Sr 0.179 0.895 0.128
Sr 0.646 0.525 0.294
Sr 0.353 0.475 0.706
Sr 0.605 0.321 0.872
Sr 0.394 0.679 0.128
Sr 0.025 0.146 0.294
Sr 0.974 0.854 0.706
Zn 0.749 0.751 0.000
Zn 0.250 0.249 0.000
Zn 0.344 0.155 0.500
Zn 0.655 0.845 0.500
Zn 0.071 0.571 0.823
Zn 0.928 0.429 0.177

Calculated values
Its symmetry is C2/m, No. 12. The calculation puts the volume at 37.17 A^3/atom. The density of states at the Fermi level comes out at 17.0 states/eV per cell.



two.
Material: Sr5Zn3
Method: DFT, PBE
State: optimized geometry

a = 3.952 Å, b = 3.952 Å, c = 18.223 Å
α = 90.00°, β = 90.00°, γ = 90.00°
Element x y z (fractional)
Sr 0.000 0.000 0.211
Sr 0.500 0.500 0.605
Sr 0.500 0.500 0.395
Sr 0.000 0.000 0.789
Sr 0.000 0.000 0.000
Zn 0.500 0.500 0.109
Zn 0.500 0.500 0.891
Zn 0.000 0.000 0.500

Calculated values
Its symmetry is P4/mmm, No. 123. The calculation puts the volume at 35.58 A^3/atom. The density of states at the Fermi level comes out at 6.1 states/eV per cell.



Energies, relative to the best one, in kJ/mol of atoms: one 4.2; two 0.0.



one.
Material: SrZn12
Method: DFT, PBE
State: optimized geometry

a = 5.282 Å, b = 6.929 Å, c = 6.929 Å
α = 81.65°, β = 67.60°, γ = 67.60°
Element x y z (fractional)
Sr 0.000 0.000 0.000
Zn 0.500 0.000 0.500
Zn 0.000 0.000 0.500
Zn 0.500 0.500 0.000
Zn 0.000 0.500 0.000
Zn 0.000 0.643 0.357
Zn 0.000 0.357 0.643
Zn 0.643 0.357 0.357
Zn 0.357 0.643 0.643
Zn 0.500 0.227 0.773
Zn 0.500 0.773 0.227
Zn 0.727 0.773 0.773
Zn 0.273 0.227 0.227

Calculated values
Its symmetry is I4/mmm, No. 139. The calculation puts the volume at 16.67 A^3/atom. The density of states at the Fermi level comes out at 3.1 states/eV per cell.



two.
Material: SrZn12
Method: DFT, PBE
State: optimized geometry

a = 7.520 Å, b = 7.520 Å, c = 7.520 Å
α = 60.00°, β = 60.00°, γ = 60.00°
Element x y z (fractional)
Sr 0.000 0.000 0.000
Zn 0.840 0.500 0.500
Zn 0.160 0.500 0.500
Zn 0.160 0.840 0.500
Zn 0.500 0.500 0.160
Zn 0.500 0.160 0.840
Zn 0.500 0.840 0.160
Zn 0.160 0.500 0.840
Zn 0.500 0.160 0.500
Zn 0.500 0.500 0.840
Zn 0.840 0.500 0.160
Zn 0.500 0.840 0.500
Zn 0.840 0.160 0.500

Calculated values
Its symmetry is Fm-3m, No. 225. The calculation puts the volume at 23.13 A^3/atom. The density of states at the Fermi level comes out at 6.8 states/eV per cell.



Energies, relative to the best one, in kJ/mol of atoms: one 0.0; two 31.3.



one.
Material: SrZr3Zn
Method: DFT, PBE
State: optimized geometry

a = 5.158 Å, b = 5.158 Å, c = 5.158 Å
α = 90.00°, β = 90.00°, γ = 90.00°
Element x y z (fractional)
Sr 0.000 0.000 0.000
Zn 0.500 0.500 0.500
Zr 0.000 0.500 0.000
Zr 0.000 0.000 0.500
Zr 0.500 0.000 0.000

Calculated values
Its symmetry is Pm-3m, No. 221. The calculation puts the volume at 27.44 A^3/atom. The density of states at the Fermi level comes out at 8.9 states/eV per cell.



two.
Material: SrZr3Zn
Method: DFT, PBE
State: optimized geometry

a = 5.204 Å, b = 5.204 Å, c = 5.204 Å
α = 90.00°, β = 90.00°, γ = 90.00°
Last column: magnetic moment on the atom in μB.
Element x y z (fractional)
Sr 0.500 0.500 0.500  0.04
Zn 0.000 0.000 0.000  0.03
Zr 0.000 0.500 0.000  0.23
Zr 0.000 0.000 0.500  0.20
Zr 0.500 0.000 0.000  0.24

Calculated values
Its symmetry is Pm-3m, No. 221. The calculation puts the volume at 28.18 A^3/atom. The density of states at the Fermi level comes out at 8.5 states/eV per cell.



Energies, relative to the best one, in kJ/mol of atoms: one 122.9; two 0.0.



one.
Material: SrZrZn
Method: DFT, PBE
State: optimized geometry

a = 4.999 Å, b = 4.999 Å, c = 4.999 Å
α = 60.00°, β = 60.00°, γ = 60.00°
Last column: magnetic moment on the atom in μB.
Element x y z (fractional)
Sr 0.500 0.500 0.500  0.03
Zn 0.750 0.750 0.750  0.00
Zr 0.000 0.000 0.000  0.29

Calculated values
Its symmetry is F-43m, No. 216. The calculation puts the volume at 29.44 A^3/atom. The density of states at the Fermi level comes out at 5.0 states/eV per cell.



two.
Material: SrZrZn
Method: DFT, PBE
State: optimized geometry

a = 5.013 Å, b = 5.013 Å, c = 3.781 Å
α = 90.00°, β = 90.00°, γ = 120.00°
Last column: magnetic moment on the atom in μB.
Element x y z (fractional)
Sr 0.000 0.000 0.000  0.03
Zn 0.667 0.333 0.501  0.01
Zr 0.333 0.667 0.499  0.27

Calculated values
Its symmetry is P-6m2, No. 187. The calculation puts the volume at 27.43 A^3/atom. The density of states at the Fermi level comes out at 4.1 states/eV per cell.



three.
Material: SrZrZn
Method: DFT, PBE
State: optimized geometry

a = 4.692 Å, b = 7.675 Å, c = 4.692 Å
α = 90.00°, β = 90.00°, γ = 89.96°
Element x y z (fractional)
Sr 0.312 0.083 0.114
Sr 0.811 0.789 0.614
Zn 0.311 0.644 0.114
Zn 0.812 0.228 0.614
Zr 0.312 0.436 0.614
Zr 0.812 0.436 0.114

Calculated values
Its symmetry is P4/nmm, No. 129. The calculation puts the volume at 28.16 A^3/atom. The density of states at the Fermi level comes out at 5.3 states/eV per cell.



Energies, relative to the best one, in kJ/mol of atoms: one 54.0; two 35.8; three 0.0.